No. 1
This record from Alexandria via LeMat-Bulk describes a relaxed structure of Li3TlPb4. The functional is PBE.

a = 4.2767 Å, b = 4.8998 Å, c = 9.6935 Å
α = 90.00°, β = 90.00°, γ = 90.00°
Space group Pmmm (No. 47)
Unique sites:
1 Li 0.0000 0.0000 0.0000 x1
2 Li 0.0000 0.5000 0.2462 x2
3 Tl 0.0000 0.0000 0.5000 x1
4 Pb 0.5000 0.0000 0.2324 x2
5 Pb 0.5000 0.5000 0.0000 x1
6 Pb 0.5000 0.5000 0.5000 x1

Results
Crystal system: orthorhombic
Formation energy: -156 meV/atom
Magnetization: 0.000 μB per cell
E: -3.024 eV per atom

***

No. 2
This record from Alexandria via LeMat-Bulk describes a relaxed structure of LiTlPb. The functional is PBE.

a = 6.6148 Å, b = 4.7902 Å, c = 9.8798 Å
α = 90.00°, β = 90.00°, γ = 90.00°
Space group Pnma (No. 62)
Unique sites:
1 Li 0.1667 0.2500 0.1045 x4
2 Tl 0.0648 0.2500 0.7792 x4
3 Pb 0.1455 0.2500 0.4333 x4

Results
Crystal system: orthorhombic
Formation energy: -141 meV/atom
Magnetization: 0.000 μB per cell
E: -2.804 eV per atom

***

No. 3
This record from Alexandria via LeMat-Bulk describes a relaxed structure of LiTlPb2. The functional is PBE.

a = 11.1581 Å, b = 3.5005 Å, c = 5.8406 Å
α = 90.00°, β = 103.59°, γ = 90.00°
Space group Cm (No. 8)
Unique sites:
1 Li 0.0000 0.0000 0.0000 x2
2 Tl 0.2649 0.0000 0.7637 x2
3 Pb 0.0020 0.5000 0.5018 x2
4 Pb 0.2401 0.5000 0.2393 x2

Results
Crystal system: monoclinic
Formation energy: -87 meV/atom
Magnetization: 0.000 μB per cell
E: -3.011 eV per atom

***

No. 4
This record from Alexandria via LeMat-Bulk describes a relaxed structure of LiTlPb2. The functional is PBE.

a = 8.9411 Å, b = 8.9411 Å, c = 5.7736 Å
α = 90.00°, β = 90.00°, γ = 90.00°
Space group I-42d (No. 122)
Unique sites:
1 Li 0.0000 0.0000 0.0000 x4
2 Tl 0.0000 0.0000 0.5000 x4
3 Pb 0.1757 0.7500 0.1250 x8

Results
Crystal system: tetragonal
Formation energy: 56 meV/atom
Magnetization: 0.000 μB per cell
E: -2.868 eV per atom

***

No. 5
This record from Alexandria via LeMat-Bulk describes a relaxed structure of Li2TlPb. The functional is PBE.

a = 3.5710 Å, b = 4.3413 Å, c = 5.9487 Å
α = 90.00°, β = 90.00°, γ = 90.00°
Space group Pmm2 (No. 25)
Unique sites:
1 Li 0.0000 0.0000 0.0000 x1
2 Li 0.5000 0.5000 0.2816 x1
3 Tl 0.5000 0.5000 0.7982 x1
4 Pb 0.0000 0.0000 0.4935 x1

Results
Crystal system: orthorhombic
Formation energy: -180 meV/atom
Magnetization: 0.000 μB per cell
E: -2.655 eV per atom

***

No. 6
This record from Alexandria via LeMat-Bulk describes a relaxed structure of LiTl2Pb. The functional is PBE.

a = 3.5296 Å, b = 4.9076 Å, c = 6.5373 Å
α = 90.00°, β = 104.14°, γ = 90.00°
Space group Pm (No. 6)
Unique sites:
1 Li 0.0000 0.0000 0.0000 x1
2 Tl 0.2089 0.0000 0.4822 x1
3 Tl 0.8279 0.5000 0.7226 x1
4 Pb 0.5624 0.5000 0.1809 x1

Results
Crystal system: monoclinic
Formation energy: -64 meV/atom
Magnetization: 0.000 μB per cell
E: -2.653 eV per atom

***

No. 7
This record from Alexandria via LeMat-Bulk describes a relaxed structure of LiTl2Pb3. The functional is PBE.

a = 17.2734 Å, b = 3.5077 Å, c = 12.2667 Å
α = 90.00°, β = 111.89°, γ = 90.00°
Space group C2/m (No. 12)
Unique sites:
1 Li 0.1186 0.0000 0.0480 x4
2 Tl 0.0203 0.5000 0.1569 x4
3 Tl 0.2295 0.5000 0.2725 x4
4 Pb 0.0472 0.0000 0.6491 x4
5 Pb 0.1434 0.5000 0.4796 x4
6 Pb 0.1830 0.5000 0.8884 x4

Results
Crystal system: monoclinic
Formation energy: -41 meV/atom
Magnetization: 0.000 μB per cell
E: -3.003 eV per atom

***

No. 8
This record from Alexandria via LeMat-Bulk describes a relaxed structure of LiTlPb. The functional is PBE.

a = 4.9733 Å, b = 4.9733 Å, c = 8.2689 Å
α = 90.00°, β = 90.00°, γ = 120.00°
Space group P6_3mc (No. 186)
Unique sites:
1 Li 0.0000 0.0000 0.0000 x2
2 Tl 0.3333 0.6667 0.3499 x2
3 Pb 0.3333 0.6667 0.7259 x2

Results
Crystal system: hexagonal
Formation energy: 1 meV/atom
Magnetization: 0.000 μB per cell
E: -2.661 eV per atom